Below is an optimized crystal structure of SnBi2Se, with properties calculated at the PBE-GGA level. Values from VASP.

Structure (Quantum ESPRESSO input):
```
&SYSTEM
  ibrav = 0, nat = 8, ntyp = 3
/
ATOMIC_SPECIES
Sn 118.71 Sn.upf
Bi 208.98 Bi.upf
Se 78.96 Se.upf
ATOMIC_POSITIONS angstrom
Sn 0.0000 0.0000 0.0000
Sn 0.0000 3.2882 3.7892
Bi 1.6441 -1.4799 5.6838
Bi 1.8083 1.6441 1.8946
Bi 1.6441 4.7681 -1.8946
Bi 1.4799 1.6441 9.4731
Se 3.2882 0.0000 3.7892
Se 0.0000 0.0000 7.5785
CELL_PARAMETERS angstrom
-3.2882 3.2882 7.5785
3.2882 -3.2882 7.5785
3.2882 3.2882 -7.5785
```

---

Below is an optimized crystal structure of Sn2BiSe4, with properties calculated at the PBE-GGA level. Values from VASP.

Structure (Quantum ESPRESSO input):
```
&SYSTEM
  ibrav = 0, nat = 14, ntyp = 3
/
ATOMIC_SPECIES
Sn 118.71 Sn.upf
Bi 208.98 Bi.upf
Se 78.96 Se.upf
ATOMIC_POSITIONS angstrom
Sn 2.0330 5.0012 8.0109
Sn 2.0330 5.0012 13.2900
Sn 2.0330 -5.0012 0.9106
Sn 2.0330 -5.0012 6.1897
Bi 2.0330 1.5810 10.6504
Bi 2.0330 -1.5810 3.5501
Se 2.0330 6.3271 10.6504
Se 2.0330 3.7262 1.7021
Se 2.0330 3.7262 5.3982
Se 2.0330 0.0000 0.0000
Se 2.0330 0.0000 7.1003
Se 2.0330 -3.7262 8.8024
Se 2.0330 -3.7262 12.4985
Se 2.0330 -6.3271 3.5501
CELL_PARAMETERS angstrom
2.0330 -6.7880 0.0000
2.0330 6.7880 0.0000
0.0000 0.0000 14.2006
```

---

Below is an optimized crystal structure of SnBi2Se, with properties calculated at the PBE-GGA level. Values from VASP.

Structure (Quantum ESPRESSO input):
```
&SYSTEM
  ibrav = 0, nat = 8, ntyp = 3
/
ATOMIC_SPECIES
Sn 118.71 Sn.upf
Bi 208.98 Bi.upf
Se 78.96 Se.upf
ATOMIC_POSITIONS angstrom
Sn 0.8541 1.1055 1.4301
Sn 3.0234 3.3164 11.3816
Bi 0.7593 3.3164 5.2143
Bi 0.8407 3.3164 8.3298
Bi 3.0368 1.1055 4.4819
Bi 3.1182 1.1055 7.5974
Se 0.4024 1.1055 11.4789
Se 3.4751 3.3164 1.3328
CELL_PARAMETERS angstrom
4.5410 0.0000 0.0000
0.0000 4.4219 0.0000
-0.6635 0.0000 12.8117
```

---

Below is an optimized crystal structure of SnBi2Se, with properties calculated at the PBE-GGA level. Values from VASP.

Structure (Quantum ESPRESSO input):
```
&SYSTEM
  ibrav = 0, nat = 4, ntyp = 3
/
ATOMIC_SPECIES
Sn 118.71 Sn.upf
Bi 208.98 Bi.upf
Se 78.96 Se.upf
ATOMIC_POSITIONS angstrom
Sn 0.0000 0.0000 0.0000
Bi 1.9029 1.9029 1.9029
Bi 5.7087 5.7087 5.7087
Se 3.8058 3.8058 3.8058
CELL_PARAMETERS angstrom
0.0000 3.8058 3.8058
3.8058 0.0000 3.8058
3.8058 3.8058 0.0000
```

---

Below is an optimized crystal structure of Sn2BiSe4, with properties calculated at the PBE-GGA level. Values from VASP.

Structure (Quantum ESPRESSO input):
```
&SYSTEM
  ibrav = 0, nat = 14, ntyp = 3
/
ATOMIC_SPECIES
Sn 118.71 Sn.upf
Bi 208.98 Bi.upf
Se 78.96 Se.upf
ATOMIC_POSITIONS angstrom
Sn 0.0000 0.0000 0.0000
Sn 2.6578 6.8839 4.1805
Sn 1.4949 3.5687 1.9131
Sn 3.9833 0.1905 6.1117
Bi 5.0277 3.5278 4.1889
Bi 5.1351 3.5643 8.3793
Se 3.9044 5.2544 2.1453
Se 2.7472 1.9937 4.3848
Se 2.7157 1.8280 0.1508
Se 4.1628 5.4563 6.3302
Se 7.5391 5.3671 0.1860
Se 6.3553 1.8911 6.3411
Se 6.4437 1.9327 2.1421
Se 7.7450 5.2839 4.3899
CELL_PARAMETERS angstrom
7.2808 0.0000 0.0000
2.5413 6.8403 0.0000
0.1684 0.1628 8.3821
```

---

Below is an optimized crystal structure of SnBi2Se5, with properties calculated at the PBE-GGA level. Values from VASP.

Structure (Quantum ESPRESSO input):
```
&SYSTEM
  ibrav = 0, nat = 16, ntyp = 3
/
ATOMIC_SPECIES
Sn 118.71 Sn.upf
Bi 208.98 Bi.upf
Se 78.96 Se.upf
ATOMIC_POSITIONS angstrom
Sn 2.8629 4.6245 10.1116
Sn 2.8629 -4.6245 3.3705
Bi 2.8629 4.9121 0.8558
Bi 2.8629 4.9121 5.8853
Bi 2.8629 -4.9121 7.5969
Bi 2.8629 -4.9121 12.6264
Se 2.8629 6.4829 8.2427
Se 2.8629 6.4829 11.9806
Se 2.8629 3.1826 3.3705
Se 2.8629 2.7912 8.0004
Se 2.8629 2.7912 12.2228
Se 2.8629 -2.7912 1.2593
Se 2.8629 -2.7912 5.4818
Se 2.8629 -3.1826 10.1116
Se 2.8629 -6.4829 1.5016
Se 2.8629 -6.4829 5.2395
CELL_PARAMETERS angstrom
2.8629 -7.1428 0.0000
2.8629 7.1428 0.0000
0.0000 0.0000 13.4822
```

---

Below is an optimized crystal structure of SnBi2Se2, with properties calculated at the PBE-GGA level. Values from VASP.

Structure (Quantum ESPRESSO input):
```
&SYSTEM
  ibrav = 0, nat = 10, ntyp = 3
/
ATOMIC_SPECIES
Sn 118.71 Sn.upf
Bi 208.98 Bi.upf
Se 78.96 Se.upf
ATOMIC_POSITIONS angstrom
Sn 0.0000 0.0000 0.0000
Sn 4.4115 4.4115 0.0000
Bi 1.7519 2.6596 0.0000
Bi 2.6596 7.0710 0.0000
Bi 6.1633 1.7519 0.0000
Bi 7.0710 6.1633 0.0000
Se 1.2395 5.6510 1.9409
Se 3.1719 1.2395 1.9409
Se 5.6510 7.5834 1.9409
Se 7.5834 3.1719 1.9409
CELL_PARAMETERS angstrom
8.8229 0.0000 0.0000
0.0000 8.8229 0.0000
0.0000 0.0000 3.8817
```

---

Below is an optimized crystal structure of Sn2BiSe2, with properties calculated at the PBE-GGA level. Values from VASP.

Structure (Quantum ESPRESSO input):
```
&SYSTEM
  ibrav = 0, nat = 5, ntyp = 3
/
ATOMIC_SPECIES
Sn 118.71 Sn.upf
Bi 208.98 Bi.upf
Se 78.96 Se.upf
ATOMIC_POSITIONS angstrom
Sn 0.0000 0.0000 1.5012
Sn 0.0000 0.0000 7.6134
Bi 0.0000 0.0000 4.5573
Se 2.8277 0.0000 2.2786
Se 0.0000 2.8277 2.2786
CELL_PARAMETERS angstrom
-2.8277 2.8277 4.5573
2.8277 -2.8277 4.5573
2.8277 2.8277 -4.5573
```

---

no.,DOS(E_F) (states/eV/f.u.),raw formation energy (kJ per mole of atoms)
1,1.20,9.52
2,3.89,-32.80
3,1.15,-14.94
4,2.29,7.43
5,2.36,-29.98
6,1.17,-22.32
7,2.94,-4.05
8,5.00,-0.86